Compound: KCoBr
Source: Alexandria via LeMat-Bulk
Functional: PBE
Structure: relaxed

E above lowest polymorph ... 198 meV per atom
D(E_F) ... 3.402 states/eV/f.u.
Uncorrected formation energy ... 0.261 eV per atom

```
6
Lattice="3.602 0.000 0.000 0.000 3.602 0.000 0.000 0.000 11.727" Properties=species:S:1:pos:R:3 pbc="T T T"
K 0.000 0.000 0.000
K 1.801 1.801 5.863
Co 0.000 0.000 3.320
Co 1.801 1.801 9.184
Br 0.000 0.000 8.477
Br 1.801 1.801 2.614
```